First-principles (PBE) data for a relaxed structure of Dy2ErTi, as listed in Alexandria via LeMat-Bulk.

Unit cell a=3.397 b=3.397 c=9.421 alpha=90.00 beta=90.00 gamma=90.00
Fractional coordinates of all 4 atoms:
Dy: 0.000 0.000 0.221
Dy: 0.000 0.000 0.779
Er: 0.500 0.500 0.500
Ti: 0.500 0.500 0.000

calculated formation energy	0.164	eV/atom
energy above the most stable polymorph in this dataset	0	meV per atom